Tl3Fe2ReO6 PBE+U optimized geometry; space-group type = No. 12; spin magnetization = 9.1 μB/cell; volume = 15.2 A^3/atom; DFT total energy = -6.093 eV/atom
1.0
5.5299 0.0136 -0.0073
-2.7518 4.7966 -0.0073
-0.9377 -1.6236 6.8577
Tl Fe Re O
3 2 1 6
Direct
0.1664 0.8336 0.5000 Tl
0.8336 0.1664 0.5000 Tl
0.5000 0.5000 0.5000 Tl
0.3322 0.6678 0.0000 Fe
0.6678 0.3322 0.0000 Fe
0.0000 0.0000 0.0000 Re
0.9534 0.6525 0.8461 O
0.7457 0.7457 0.1478 O
0.0466 0.3475 0.1539 O
0.6525 0.9534 0.8461 O
0.2543 0.2543 0.8522 O
0.3475 0.0466 0.1539 O